Below is a geometry-optimized La4ErBi5 structure, with properties calculated at the PBE level.

## Properties
space-group type	I4/m, No. 87
E	-5.364	eV/atom
DOS(E_F)	0.8	states/eV/f.u.
total magnetic moment	0.0	μB/f.u.
formation enthalpy at 0 K	-962	kJ/mol of formula units

```
data_La4ErBi5
_chemical_formula_sum 'La4 Er1 Bi5'
_symmetry_space_group_name_H-M 'P 1'
_symmetry_Int_Tables_number 1
_symmetry_space_group_name_Hall 'P 1'
_cell_length_a 8.064
_cell_length_b 8.064
_cell_length_c 8.064
_cell_angle_alpha 99.63
_cell_angle_beta 99.63
_cell_angle_gamma 131.71
loop_
_atom_site_label
_atom_site_type_symbol
_atom_site_fract_x
_atom_site_fract_y
_atom_site_fract_z
La1 La 0.097 0.300 0.397
La2 La 0.300 0.903 0.203
La3 La 0.700 0.097 0.797
La4 La 0.903 0.700 0.603
Er1 Er 0.500 0.500 0.000
Bi1 Bi 0.000 0.000 0.000
Bi2 Bi 0.208 0.598 0.806
Bi3 Bi 0.402 0.208 0.610
Bi4 Bi 0.598 0.792 0.390
Bi5 Bi 0.792 0.402 0.194
```